Record 1
## MgBeIn2 (GGA-PBE)

Data for crystalline MgBeIn2 at its relaxed geometry.

POSCAR file:
```
MgBeIn2
1.0
4.3886 0.0000 0.0000
0.0000 4.3886 0.0000
0.0000 0.0000 4.1848
Mg Be In
1 1 2
Direct
0.0000 0.0000 0.0000
0.5000 0.5000 0.0000
0.0000 0.5000 0.5000
0.5000 0.0000 0.5000
```

Output
- Space group: No. 123
- Final energy: -9.60 eV for the cell shown
- Energy relative to the elements: 0.30 eV/atom
- N(E_F): 1.354 states/eV/f.u.
- Total magnetization: 0.000 μB per atom
- Distance to the lowest polymorph of the same formula: 70.2 meV/atom

=====

Record 2
## UInSn (GGA-PBE)

Data for crystalline UInSn at its relaxed geometry.

POSCAR file:
```
UInSn
1.0
6.1344 0.0000 0.0000
0.0000 2.9809 0.0000
0.0000 0.0000 8.2289
U In Sn
2 2 2
Direct
0.2500 0.0000 0.1995
0.7500 0.0000 0.8005
0.2500 0.5000 0.8452
0.7500 0.5000 0.1548
0.0000 0.5000 0.5000
0.5000 0.5000 0.5000
```

Output
- Space group: No. 51
- Final energy: -35.99 eV for the cell shown
- Energy relative to the elements: 0.01 eV/atom
- N(E_F): 4.778 states/eV/f.u.
- Total magnetization: 1.003 μB per atom
- Distance to the lowest polymorph of the same formula: 0.0 meV/atom